A plane-wave DFT calculation with PBE-GGA was carried out for crystalline Li3Ga4Ge at its relaxed geometry.

Calculated values
DFT total energy (eV/atom): -2.974
Formation energy from the elements (eV/atom): -0.1661

Cell lengths 19.184, 3.987, 3.809 Å; angles 90.00, 100.79, 90.00 degrees
Space group C2/m (No. 12)
Symmetry-distinct sites (fractional):
1 Li 0.000 0.000 0.000 (multiplicity 2)
2 Li 0.123 0.000 0.616 (multiplicity 4)
3 Ga 0.094 0.500 0.089 (multiplicity 4)
4 Ga 0.229 0.500 0.230 (multiplicity 4)
5 Ge 0.000 0.500 0.500 (multiplicity 2)